1.
The following is a DFT calculation (PBE) of a relaxed structure of HfVCr.

Cell: 9.6529 4.1353 6.1563 Å, 90.00 128.26 90.00°
Space group C2/m (No. 12)
Symmetry-distinct sites (fractional):
Hf 0.0515 0.0000 0.3044
V 0.1825 0.5000 0.7840
Cr 0.1608 0.5000 0.1446

Output
Offset from the most stable computed form = 0.2234 eV/atom

***

2.
The following is a DFT calculation (PBE) of a relaxed structure of NdEr2Th4.

Cell: 9.3484 9.3484 5.5333 Å, 90.00 90.00 90.00°
Space group P4_2/mnm (No. 136)
Symmetry-distinct sites (fractional):
Nd 0.0000 0.0000 0.0000
Er 0.1853 0.1853 0.5000
Th 0.1215 0.6233 0.5000

***

3.
The following is a DFT calculation (PBE) of a relaxed structure of NaAcTm2.

Cell: 3.6219 3.6219 38.5059 Å, 90.00 90.00 120.00°
Space group R-3m (No. 166, hexagonal axes)
Symmetry-distinct sites (fractional):
Na 0.0000 0.0000 0.0000
Ac 0.0000 0.0000 0.5000
Tm 0.0000 0.0000 0.0907

***

Number 1: energy relative to the elements 0.1505 eV per atom. Number 2: energy relative to the elements 0.2995 eV per atom. Number 3: energy relative to the elements 0.2662 eV per atom.